First-principles (GGA-PBE) data for SmFeNiP2 after structural relaxation, as listed in the Alexandria database.

Cell lengths 3.890, 3.890, 5.581 Å; angles 110.39, 110.39, 90.00 degrees
Each line ends with the local moment (μB).
Fractional positions:
P  0.370  0.370  0.740  0.00
P  0.630  0.630  0.260  0.00
Ni  0.750  0.250  0.500  0.26
Sm  0.000  0.000  0.000  0.02
Fe  0.250  0.750  0.500  1.34

Values from the calculation:
ΔE_f in eV per atom: -0.9460
Space-group type: I-4m2 (119)
Density of states at the Fermi level in states/eV/f.u.: 2.12
Total energy in eV per atom: -6.903